Density functional theory data (PBE+U) for SrNiO after structural relaxation.

* total DFT energy (no corrections): -4.2440 eV per atom
* symmetry: Cmmm, No. 65
* crystal system: orthorhombic

Cell: 5.1144 5.1143 4.0031 Å, 90.00 90.00 90.00°
With the nearest neighbours (Å) after each atom.
Fractional coordinates of all 6 atoms:
Sr: 0.1422 0.8251 0.9390  4 O 2.56
Sr: 0.6419 0.3256 0.9390  4 O 2.56
O: 0.1419 0.3250 0.9391  2 Ni 2.00
O: 0.6422 0.8256 0.9390  2 Ni 2.00
Ni: 0.1416 0.3241 0.4390  2 O 2.00
Ni: 0.6427 0.8266 0.4390  2 O 2.00